[1]
A plane-wave DFT calculation with GGA-PBE was carried out for an optimized crystal structure of ZrCdOs2.

```
data_ZrCdOs2
_chemical_formula_sum 'Zr1 Cd1 Os2'
_symmetry_space_group_name_H-M 'P 4 m m'
_symmetry_Int_Tables_number 99
_symmetry_space_group_name_Hall 'P 4 -2'
_cell_length_a 2.881
_cell_length_b 2.881
_cell_length_c 8.474
_cell_angle_alpha 90.00
_cell_angle_beta 90.00
_cell_angle_gamma 90.00
loop_
_atom_site_label
_atom_site_type_symbol
_atom_site_fract_x
_atom_site_fract_y
_atom_site_fract_z
Zr1 Zr 0.000 0.000 0.000
Cd1 Cd 0.500 0.500 0.294
Os1 Os 0.000 0.000 0.551
Os2 Os 0.500 0.500 0.742
```

Calculated values
ΔH_f (0 K) in eV per atom: 0.0509



[2]
A plane-wave DFT calculation with GGA-PBE was carried out for an optimized crystal structure of CuBPb3.

```
data_CuBPb3
_chemical_formula_sum 'Cu1 B1 Pb3'
_symmetry_space_group_name_H-M 'P m -3 m'
_symmetry_Int_Tables_number 221
_symmetry_space_group_name_Hall '-P 4 2 3'
_cell_length_a 5.200
_cell_length_b 5.200
_cell_length_c 5.200
_cell_angle_alpha 90.00
_cell_angle_beta 90.00
_cell_angle_gamma 90.00
loop_
_atom_site_label
_atom_site_type_symbol
_atom_site_fract_x
_atom_site_fract_y
_atom_site_fract_z
Cu1 Cu 0.000 0.000 0.000
B1 B 0.500 0.500 0.500
Pb1 Pb 0.000 0.000 0.500
```

Calculated values
Polymorph energy (0 for the lowest one) in eV/atom: 0.281
ΔH_f (0 K) in eV per atom: 1.1454



[3]
A plane-wave DFT calculation with GGA-PBE was carried out for an optimized crystal structure of ScSb2P.

```
data_ScSb2P
_chemical_formula_sum 'Sc2 Sb4 P2'
_symmetry_space_group_name_H-M 'C m m m'
_symmetry_Int_Tables_number 65
_symmetry_space_group_name_Hall '-C 2 2'
_cell_length_a 6.345
_cell_length_b 7.744
_cell_length_c 3.606
_cell_angle_alpha 90.00
_cell_angle_beta 90.00
_cell_angle_gamma 90.00
loop_
_atom_site_label
_atom_site_type_symbol
_atom_site_fract_x
_atom_site_fract_y
_atom_site_fract_z
Sc1 Sc 0.000 0.000 0.000
Sb1 Sb 0.250 0.250 0.500
P1 P 0.000 0.500 0.000
```

Calculated values
Formation energy without anion corrections in eV per atom: -0.138



[4]
A plane-wave DFT calculation with GGA-PBE was carried out for an optimized crystal structure of MgCuF5.

```
data_MgCuF5
_chemical_formula_sum 'Mg4 Cu4 F20'
_symmetry_space_group_name_H-M 'C 1 2/c 1'
_symmetry_Int_Tables_number 15
_symmetry_space_group_name_Hall '-C 2yc'
_cell_length_a 8.448
_cell_length_b 6.097
_cell_length_c 7.384
_cell_angle_alpha 90.00
_cell_angle_beta 115.97
_cell_angle_gamma 90.00
loop_
_atom_site_label
_atom_site_type_symbol
_atom_site_fract_x
_atom_site_fract_y
_atom_site_fract_z
Mg1 Mg 0.000 0.032 0.250
Cu1 Cu 0.000 0.500 0.000
F1 F 0.000 0.385 0.250
F2 F 0.021 0.193 0.963
F3 F 0.245 0.464 0.633
```

Calculated values
Polymorph energy (0 for the lowest one) in eV/atom: 0.000
Formation energy without anion corrections in eV per atom: -2.220



[5]
A plane-wave DFT calculation with GGA-PBE was carried out for an optimized crystal structure of CaTi2Ge2.

```
data_CaTi2Ge2
_chemical_formula_sum 'Ca2 Ti4 Ge4'
_symmetry_space_group_name_H-M 'I 4/m m m'
_symmetry_Int_Tables_number 139
_symmetry_space_group_name_Hall '-I 4 2'
_cell_length_a 4.213
_cell_length_b 4.213
_cell_length_c 11.574
_cell_angle_alpha 90.00
_cell_angle_beta 90.00
_cell_angle_gamma 90.00
loop_
_atom_site_label
_atom_site_type_symbol
_atom_site_fract_x
_atom_site_fract_y
_atom_site_fract_z
Ca1 Ca 0.000 0.000 0.000
Ti1 Ti 0.000 0.500 0.250
Ge1 Ge 0.000 0.000 0.383
```

Calculated values
Polymorph energy (0 for the lowest one) in eV/atom: 0.000
ΔH_f (0 K) in eV per atom: -0.5085



[6]
A plane-wave DFT calculation with GGA-PBE was carried out for an optimized crystal structure of PrTi2C.

```
data_PrTi2C
_chemical_formula_sum 'Pr3 Ti6 C3'
_symmetry_space_group_name_H-M 'R -3 m'
_symmetry_Int_Tables_number 166
_symmetry_space_group_name_Hall '-R 3 2"'
_cell_length_a 3.1422
_cell_length_b 3.1422
_cell_length_c 25.9793
_cell_angle_alpha 90.00
_cell_angle_beta 90.00
_cell_angle_gamma 120.00
loop_
_atom_site_label
_atom_site_type_symbol
_atom_site_fract_x
_atom_site_fract_y
_atom_site_fract_z
Pr1 Pr 0.0000 0.0000 0.0000
Ti1 Ti 0.0000 0.0000 0.1238
C1 C 0.0000 0.0000 0.5000
```

Calculated values
ΔH_f (0 K) in eV per atom: -0.2155



[7]
A plane-wave DFT calculation with GGA-PBE was carried out for an optimized crystal structure of PmNdDyZr.

```
data_PmNdDyZr
_chemical_formula_sum 'Pm4 Nd4 Dy4 Zr4'
_symmetry_space_group_name_H-M 'F -4 3 m'
_symmetry_Int_Tables_number 216
_symmetry_space_group_name_Hall 'F -4 2 3'
_cell_length_a 7.878
_cell_length_b 7.878
_cell_length_c 7.878
_cell_angle_alpha 90.00
_cell_angle_beta 90.00
_cell_angle_gamma 90.00
loop_
_atom_site_label
_atom_site_type_symbol
_atom_site_fract_x
_atom_site_fract_y
_atom_site_fract_z
Pm1 Pm 0.000 0.000 0.000
Nd1 Nd 0.250 0.250 0.750
Dy1 Dy 0.000 0.000 0.500
Zr1 Zr 0.250 0.250 0.250
```

Calculated values
ΔH_f (0 K) in eV per atom: 0.2484



[8]
A plane-wave DFT calculation with GGA-PBE was carried out for an optimized crystal structure of SrPaAl.

```
data_SrPaAl
_chemical_formula_sum 'Sr4 Pa4 Al4'
_symmetry_space_group_name_H-M 'C m m m'
_symmetry_Int_Tables_number 65
_symmetry_space_group_name_Hall '-C 2 2'
_cell_length_a 5.575
_cell_length_b 5.585
_cell_length_c 11.744
_cell_angle_alpha 90.00
_cell_angle_beta 90.00
_cell_angle_gamma 90.00
loop_
_atom_site_label
_atom_site_type_symbol
_atom_site_fract_x
_atom_site_fract_y
_atom_site_fract_z
Sr1 Sr 0.000 0.000 0.162
Pa1 Pa 0.000 0.500 0.391
Al1 Al 0.000 0.000 0.500
Al2 Al 0.000 0.500 0.000
```

Calculated values
ΔH_f (0 K) in eV per atom: 0.2251



[9]
A plane-wave DFT calculation with GGA-PBE was carried out for an optimized crystal structure of CaMnNi.

```
data_CaMnNi
_chemical_formula_sum 'Ca2 Mn2 Ni2'
_symmetry_space_group_name_H-M 'P 4/n m m'
_symmetry_Int_Tables_number 129
_cell_length_a 4.021
_cell_length_b 4.021
_cell_length_c 7.378
_cell_angle_alpha 90.00
_cell_angle_beta 90.00
_cell_angle_gamma 90.00
loop_
_symmetry_equiv_pos_as_xyz
'x,y,z'
'-x,-y,-z'
'-y+1/2,x,z'
'y+1/2,-x,-z'
'-x+1/2,-y+1/2,z'
'x+1/2,y+1/2,-z'
'y,-x+1/2,z'
'-y,x+1/2,-z'
'x+1/2,-y,-z'
'-x+1/2,y,z'
'-y,-x,-z'
'y,x,z'
'-x,y+1/2,-z'
'x,-y+1/2,z'
'y+1/2,x+1/2,-z'
'-y+1/2,-x+1/2,z'
loop_
_atom_site_label
_atom_site_type_symbol
_atom_site_fract_x
_atom_site_fract_y
_atom_site_fract_z
Ca1 Ca 0.250 0.250 0.163
Mn1 Mn 0.250 0.750 0.500
Ni1 Ni 0.250 0.250 0.695
```

Calculated values
ΔH_f (0 K) in eV per atom: 0.0245



[10]
A plane-wave DFT calculation with GGA-PBE was carried out for an optimized crystal structure of Ca6TlGa2.

```
data_Ca6TlGa2
_chemical_formula_sum 'Ca24 Tl4 Ga8'
_symmetry_space_group_name_H-M 'I m m m'
_symmetry_Int_Tables_number 71
_symmetry_space_group_name_Hall '-I 2 2'
_cell_length_a 10.070
_cell_length_b 10.227
_cell_length_c 11.114
_cell_angle_alpha 90.00
_cell_angle_beta 90.00
_cell_angle_gamma 90.00
loop_
_atom_site_label
_atom_site_type_symbol
_atom_site_fract_x
_atom_site_fract_y
_atom_site_fract_z
Ca1 Ca 0.000 0.193 0.249
Ca2 Ca 0.191 0.500 0.166
Ca3 Ca 0.223 0.319 0.500
Tl1 Tl 0.000 0.000 0.000
Tl2 Tl 0.000 0.000 0.500
Ga1 Ga 0.000 0.332 0.000
Ga2 Ga 0.000 0.500 0.384
```

Calculated values
ΔH_f (0 K) in eV per atom: -0.3317



[11]
A plane-wave DFT calculation with GGA-PBE was carried out for an optimized crystal structure of V12Si3Ge.

```
data_V12Si3Ge
_chemical_formula_sum 'V12 Si3 Ge1'
_symmetry_space_group_name_H-M 'P m m m'
_symmetry_Int_Tables_number 47
_symmetry_space_group_name_Hall '-P 2 2'
_cell_length_a 4.718
_cell_length_b 4.723
_cell_length_c 9.404
_cell_angle_alpha 90.00
_cell_angle_beta 90.00
_cell_angle_gamma 90.00
loop_
_atom_site_label
_atom_site_type_symbol
_atom_site_fract_x
_atom_site_fract_y
_atom_site_fract_z
V1 V 0.000 0.000 0.126
V2 V 0.000 0.000 0.372
V3 V 0.244 0.500 0.500
V4 V 0.252 0.500 0.000
V5 V 0.500 0.254 0.246
Si1 Si 0.000 0.500 0.250
Si2 Si 0.500 0.000 0.000
Ge1 Ge 0.500 0.000 0.500
```

Calculated values
Formation energy without anion corrections in eV per atom: -0.431



[12]
A plane-wave DFT calculation with GGA-PBE was carried out for an optimized crystal structure of LaHo3.

```
data_LaHo3
_chemical_formula_sum 'La1 Ho3'
_symmetry_space_group_name_H-M 'P m -3 m'
_symmetry_Int_Tables_number 221
_symmetry_space_group_name_Hall '-P 4 2 3'
_cell_length_a 5.069
_cell_length_b 5.069
_cell_length_c 5.069
_cell_angle_alpha 90.00
_cell_angle_beta 90.00
_cell_angle_gamma 90.00
loop_
_atom_site_label
_atom_site_type_symbol
_atom_site_fract_x
_atom_site_fract_y
_atom_site_fract_z
La1 La 0.000 0.000 0.000
Ho1 Ho 0.000 0.500 0.500
```

Calculated values
ΔH_f (0 K) in eV per atom: 0.0349



[13]
A plane-wave DFT calculation with GGA-PBE was carried out for an optimized crystal structure of Ba2MgMnTc.

```
data_Ba2MgMnTc
_chemical_formula_sum 'Ba2 Mg1 Mn1 Tc1'
_symmetry_space_group_name_H-M 'P 4/m m m'
_symmetry_Int_Tables_number 123
_symmetry_space_group_name_Hall '-P 4 2'
_cell_length_a 5.763
_cell_length_b 5.763
_cell_length_c 5.265
_cell_angle_alpha 90.00
_cell_angle_beta 90.00
_cell_angle_gamma 90.00
loop_
_atom_site_label
_atom_site_type_symbol
_atom_site_fract_x
_atom_site_fract_y
_atom_site_fract_z
Ba1 Ba 0.000 0.500 0.000
Mg1 Mg 0.000 0.000 0.500
Mn1 Mn 0.500 0.500 0.500
Tc1 Tc 0.000 0.000 0.000
```

Calculated values
ΔH_f (0 K) in eV per atom: 0.8567



[14]
A plane-wave DFT calculation with GGA-PBE was carried out for an optimized crystal structure of SrScGa.

```
data_SrScGa
_chemical_formula_sum 'Sr2 Sc2 Ga2'
_symmetry_space_group_name_H-M 'P 1 21/m 1'
_symmetry_Int_Tables_number 11
_symmetry_space_group_name_Hall '-P 2yb'
_cell_length_a 3.712
_cell_length_b 3.711
_cell_length_c 12.291
_cell_angle_alpha 90.00
_cell_angle_beta 90.05
_cell_angle_gamma 90.00
loop_
_atom_site_label
_atom_site_type_symbol
_atom_site_fract_x
_atom_site_fract_y
_atom_site_fract_z
Sr1 Sr 0.249 0.250 0.143
Sc1 Sc 0.249 0.250 0.422
Ga1 Ga 0.251 0.250 0.675
```

Calculated values
Polymorph energy (0 for the lowest one) in eV/atom: 0.057
ΔH_f (0 K) in eV per atom: -0.3294



[15]
A plane-wave DFT calculation with GGA-PBE was carried out for an optimized crystal structure of KCdCoCu2.

```
data_KCdCoCu2
_chemical_formula_sum 'K1 Cd1 Co1 Cu2'
_symmetry_space_group_name_H-M 'P 4/m m m'
_symmetry_Int_Tables_number 123
_symmetry_space_group_name_Hall '-P 4 2'
_cell_length_a 4.930
_cell_length_b 4.930
_cell_length_c 4.437
_cell_angle_alpha 90.00
_cell_angle_beta 90.00
_cell_angle_gamma 90.00
loop_
_atom_site_label
_atom_site_type_symbol
_atom_site_fract_x
_atom_site_fract_y
_atom_site_fract_z
K1 K 0.000 0.000 0.000
Cd1 Cd 0.500 0.500 0.500
Co1 Co 0.000 0.000 0.500
Cu1 Cu 0.000 0.500 0.000
```

Calculated values
ΔH_f (0 K) in eV per atom: 1.8095



[16]
A plane-wave DFT calculation with GGA-PBE was carried out for an optimized crystal structure of CeNiSnRh.

```
data_CeNiSnRh
_chemical_formula_sum 'Ce4 Ni4 Sn4 Rh4'
_symmetry_space_group_name_H-M 'F -4 3 m'
_symmetry_Int_Tables_number 216
_symmetry_space_group_name_Hall 'F -4 2 3'
_cell_length_a 6.696
_cell_length_b 6.696
_cell_length_c 6.696
_cell_angle_alpha 90.00
_cell_angle_beta 90.00
_cell_angle_gamma 90.00
loop_
_atom_site_label
_atom_site_type_symbol
_atom_site_fract_x
_atom_site_fract_y
_atom_site_fract_z
Ce1 Ce 0.000 0.000 0.000
Ni1 Ni 0.250 0.250 0.750
Sn1 Sn 0.000 0.000 0.500
Rh1 Rh 0.250 0.250 0.250
```

Calculated values
ΔH_f (0 K) in eV per atom: -0.5245



[17]
A plane-wave DFT calculation with GGA-PBE was carried out for an optimized crystal structure of CsPb2BrF4.

```
data_CsPb2BrF4
_chemical_formula_sum 'Cs1 Pb2 Br1 F4'
_symmetry_space_group_name_H-M 'P 4/m m m'
_symmetry_Int_Tables_number 123
_symmetry_space_group_name_Hall '-P 4 2'
_cell_length_a 4.184
_cell_length_b 4.184
_cell_length_c 10.772
_cell_angle_alpha 90.00
_cell_angle_beta 90.00
_cell_angle_gamma 90.00
loop_
_atom_site_label
_atom_site_type_symbol
_atom_site_fract_x
_atom_site_fract_y
_atom_site_fract_z
Cs1 Cs 0.000 0.000 0.000
Pb1 Pb 0.500 0.500 0.311
Br1 Br 0.000 0.000 0.500
F1 F 0.000 0.500 0.203
```

Calculated values
Formation energy without anion corrections in eV per atom: -2.201



[18]
A plane-wave DFT calculation with GGA-PBE was carried out for an optimized crystal structure of LaHfTaN3.

```
data_LaHfTaN3
_chemical_formula_sum 'La2 Hf2 Ta2 N6'
_symmetry_space_group_name_H-M 'P 1 21/m 1'
_symmetry_Int_Tables_number 11
_symmetry_space_group_name_Hall '-P 2yb'
_cell_length_a 5.772
_cell_length_b 3.317
_cell_length_c 8.563
_cell_angle_alpha 90.00
_cell_angle_beta 103.31
_cell_angle_gamma 90.00
loop_
_atom_site_label
_atom_site_type_symbol
_atom_site_fract_x
_atom_site_fract_y
_atom_site_fract_z
La1 La 0.144 0.250 0.191
Hf1 Hf 0.267 0.750 0.547
Ta1 Ta 0.378 0.250 0.860
N1 N 0.067 0.250 0.652
N2 N 0.266 0.750 0.985
N3 N 0.468 0.750 0.351
```

Calculated values
Formation energy without anion corrections in eV per atom: -1.447



[19]
A plane-wave DFT calculation with GGA-PBE was carried out for an optimized crystal structure of UMnB2.

```
data_UMnB2
_chemical_formula_sum 'U3 Mn3 B6'
_symmetry_space_group_name_H-M 'R -3 m'
_symmetry_Int_Tables_number 166
_symmetry_space_group_name_Hall '-R 3 2"'
_cell_length_a 3.2206
_cell_length_b 3.2206
_cell_length_c 15.8990
_cell_angle_alpha 90.00
_cell_angle_beta 90.00
_cell_angle_gamma 120.00
loop_
_atom_site_label
_atom_site_type_symbol
_atom_site_fract_x
_atom_site_fract_y
_atom_site_fract_z
U1 U 0.0000 0.0000 0.0000
Mn1 Mn 0.0000 0.0000 0.5000
B1 B 0.0000 0.0000 0.2225
```

Calculated values
ΔH_f (0 K) in eV per atom: 0.0576



[20]
A plane-wave DFT calculation with GGA-PBE was carried out for an optimized crystal structure of Al2PtSe.

```
data_Al2PtSe
_chemical_formula_sum 'Al8 Pt4 Se4'
_symmetry_space_group_name_H-M 'F -4 3 m'
_symmetry_Int_Tables_number 216
_symmetry_space_group_name_Hall 'F -4 2 3'
_cell_length_a 6.548
_cell_length_b 6.548
_cell_length_c 6.548
_cell_angle_alpha 90.00
_cell_angle_beta 90.00
_cell_angle_gamma 90.00
loop_
_atom_site_label
_atom_site_type_symbol
_atom_site_fract_x
_atom_site_fract_y
_atom_site_fract_z
Al1 Al 0.000 0.000 0.000
Al2 Al 0.250 0.250 0.250
Pt1 Pt 0.000 0.000 0.500
Se1 Se 0.250 0.250 0.750
```

Calculated values
Formation energy without anion corrections in eV per atom: 0.016